# 1
## NaIn6Ga2 (GGA-PBE)

Data for NaIn6Ga2 after structural relaxation.

Cell and atoms, written as extended XYZ:
```
9
Lattice="5.594 0.000 0.000 -2.797 4.845 0.000 0.000 0.000 10.175" Properties=species:S:1:pos:R:3 pbc="T T T"
In -1.849 3.202 2.688
Ga 2.797 1.615 5.088
In 1.849 3.202 7.487
Ga 0.000 3.230 5.088
In 1.897 0.000 7.487
In 0.948 1.643 2.688
In 3.698 0.000 2.688
Na 0.000 0.000 0.000
In -0.948 1.643 7.487
```

Calculated values
Distance to the lowest polymorph of the same formula: 12.37 kJ/mol of atoms


# 2
## DyBRh (GGA-PBE)

Data for DyBRh after structural relaxation.

Cell and atoms, written as extended XYZ:
```
6
Lattice="-4.296 -0.808 -1.424 1.552 -3.285 -2.817 0.851 -1.062 5.459" Properties=species:S:1:pos:R:3 pbc="T T T"
B -1.665 -3.795 -0.243
B 0.743 -1.837 -1.200
Dy -0.495 -2.953 3.171
Rh 0.522 -3.160 0.220
Rh -1.887 -5.118 1.178
Dy -2.383 -1.803 0.790
```

Calculated values
Distance to the lowest polymorph of the same formula: 28.14 kJ/mol of atoms


# 3
## LaPr2Ga6 (GGA-PBE)

Data for LaPr2Ga6 after structural relaxation.

Cell and atoms, written as extended XYZ:
```
9
Lattice="4.400 0.000 0.000 0.000 6.451 -3.724 0.000 0.000 7.448" Properties=species:S:1:pos:R:3 pbc="T T T"
Ga 2.200 6.451 -1.235
Ga 2.200 4.295 2.480
Pr 4.400 4.300 0.000
Ga 2.200 2.156 -1.245
Ga 2.200 4.295 4.969
Ga 2.200 0.000 4.959
Pr 0.000 2.150 3.724
Ga 2.200 2.156 1.245
La 0.000 0.000 7.448
```

Calculated values
Distance to the lowest polymorph of the same formula: 0.00 kJ/mol of atoms


# 4
## ScZnSbTe2 (GGA-PBE)

Data for ScZnSbTe2 after structural relaxation.

Cell and atoms, written as extended XYZ:
```
5
Lattice="-0.173 4.161 -3.319 0.430 -3.299 -4.159 -5.083 -0.386 -0.219" Properties=species:S:1:pos:R:3 pbc="T T T"
Sc -2.413 0.238 -3.848
Zn 0.000 0.000 0.000
Te 0.215 -1.649 -2.079
Te -0.087 2.081 -1.659
Sb -2.542 -0.193 -0.109
```

Calculated values
Distance to the lowest polymorph of the same formula: 14.70 kJ/mol of atoms
Formation energy from raw total energies: 0.2214 eV per atom


# 5
## PrTlHg4 (GGA-PBE)

Data for PrTlHg4 after structural relaxation.

Cell and atoms, written as extended XYZ:
```
6
Lattice="6.099 0.000 0.000 3.049 5.282 0.000 3.049 1.761 4.980" Properties=species:S:1:pos:R:3 pbc="T T T"
Hg 6.099 3.521 0.627
Hg 4.578 4.399 3.111
Tl 0.000 0.000 0.000
Pr 3.049 1.761 1.245
Hg 6.099 1.765 3.111
Hg 7.619 4.399 3.111
```

Calculated values
Distance to the lowest polymorph of the same formula: 11.74 kJ/mol of atoms


# 6
## Rb2HfTiRh (GGA-PBE)

Data for Rb2HfTiRh after structural relaxation.

Cell and atoms, written as extended XYZ:
```
5
Lattice="-0.902 -3.421 5.804 -2.406 -2.988 -2.135 5.614 -3.619 -1.261" Properties=species:S:1:pos:R:3 pbc="T T T"
Ti 0.000 0.000 0.000
Hf 1.153 -5.014 1.204
Rb 2.807 -1.810 -0.631
Rh -1.203 -1.494 -1.067
Rb -0.451 -1.711 2.902
```

Calculated values
Final energy: -19.38 eV per cell


# 7
## Sn2SeS3 (GGA-PBE)

Data for Sn2SeS3 after structural relaxation.

Cell and atoms, written as extended XYZ:
```
12
Lattice="-3.982 6.322 -0.283 -3.802 2.296 6.015 2.835 6.386 4.002" Properties=species:S:1:pos:R:3 pbc="T T T"
Sn -1.991 3.161 -0.141
S -3.418 6.789 2.224
Sn 0.000 0.000 0.000
S -3.329 4.781 5.366
S -5.315 7.935 5.224
Se -3.669 11.281 7.317
Sn -1.901 1.148 3.007
Se -1.280 3.723 2.417
S -1.531 8.215 7.510
S 0.366 7.069 4.509
S -1.620 10.223 4.368
Sn -3.892 4.309 2.866
```

Calculated values
Formation energy from raw total energies: -0.3672 eV per atom


# 8
## Nd2Tl3Hg3 (GGA-PBE)

Data for Nd2Tl3Hg3 after structural relaxation.

Cell and atoms, written as extended XYZ:
```
8
Lattice="4.794 0.000 0.000 0.000 4.754 0.000 0.000 0.000 9.420" Properties=species:S:1:pos:R:3 pbc="T T T"
Hg 2.397 2.377 2.345
Nd 0.000 0.000 2.334
Tl 0.000 2.377 0.000
Tl 0.000 2.377 4.710
Tl 2.397 0.000 4.710
Nd 0.000 0.000 7.086
Hg 2.397 2.377 7.075
Hg 2.397 0.000 0.000
```

Calculated values
Final energy: -20.17 eV per cell


# 9
## ZrPRuCl2 (GGA-PBE)

Data for ZrPRuCl2 after structural relaxation.

Cell and atoms, written as extended XYZ:
```
5
Lattice="4.631 0.000 0.000 0.000 4.631 0.000 0.000 0.000 4.698" Properties=species:S:1:pos:R:3 pbc="T T T"
Cl 0.000 2.315 0.000
Cl 2.315 0.000 0.000
Zr 2.315 2.315 2.349
P 0.000 0.000 2.349
Ru 0.000 0.000 0.000
```

Calculated values
Distance to the lowest polymorph of the same formula: 0.00 kJ/mol of atoms
Formation energy from raw total energies: 0.2764 eV per atom


# 10
## LiNd3Zn8 (GGA-PBE)

Data for LiNd3Zn8 after structural relaxation.

Cell and atoms, written as extended XYZ:
```
12
Lattice="-3.627 -3.652 1.946 -3.152 -2.870 -3.480 4.032 -8.623 -0.891" Properties=species:S:1:pos:R:3 pbc="T T T"
Li -4.368 -8.993 -1.679
Zn 0.475 -4.978 -0.676
Zn -2.033 -10.582 -0.311
Zn -4.003 -6.306 0.126
Nd -6.680 -6.623 -1.539
Nd -1.441 -7.503 -1.208
Zn -3.607 -12.015 -2.048
Zn -0.874 -12.574 -1.890
Zn -3.767 -5.918 -2.568
Zn -1.796 -10.192 -3.020
Zn -2.203 -4.493 -0.841
Nd 0.945 -9.949 -1.352
```

Calculated values
Final energy: -29.81 eV per cell


# 11
## LaMg2SiPd2 (GGA-PBE)

Data for LaMg2SiPd2 after structural relaxation.

Cell and atoms, written as extended XYZ:
```
6
Lattice="4.911 0.000 0.000 0.000 4.911 0.000 -2.456 -2.456 5.756" Properties=species:S:1:pos:R:3 pbc="T T T"
Si 0.000 0.000 0.000
Pd 2.456 2.456 3.502
Mg 0.000 2.456 2.878
Mg 2.456 0.000 2.878
La 2.456 2.456 0.000
Pd 0.000 0.000 2.254
```

Calculated values
Formation energy from raw total energies: -0.4230 eV per atom


# 12
## KRb3Li (GGA-PBE)

Data for KRb3Li after structural relaxation.

Cell and atoms, written as extended XYZ:
```
5
Lattice="-4.760 4.893 2.829 -5.490 -4.883 -0.791 1.346 -2.611 6.781" Properties=species:S:1:pos:R:3 pbc="T T T"
Li 0.000 0.000 0.000
Rb -2.745 -2.442 -0.395
Rb -2.380 2.447 1.415
K -4.452 -1.300 4.410
Rb 0.673 -1.305 3.390
```

Calculated values
Final energy: -5.19 eV per cell


# 13
## HoGaSe3 (GGA-PBE)

Data for HoGaSe3 after structural relaxation.

Cell and atoms, written as extended XYZ:
```
20
Lattice="-5.191 2.032 4.274 -1.968 -6.920 0.898 7.081 -1.109 6.971" Properties=species:S:1:pos:R:3 pbc="T T T"
Se 4.268 -5.311 7.590
Se 0.432 -3.277 8.152
Ho -4.102 -2.783 6.537
Ga -1.702 -4.748 8.723
Ho 1.568 -5.990 8.098
Se 1.204 0.446 9.263
Se -1.283 -6.443 2.880
Ga -2.301 -3.993 2.942
Se -1.959 -0.841 6.918
Se -0.510 -2.720 3.992
Se 1.880 -5.156 5.225
Ga 2.223 -2.004 9.201
Se -4.346 -0.687 4.553
Ho 4.024 -3.214 5.606
Ho -1.647 -0.007 4.045
Ga 1.624 -1.249 3.421
Se -4.462 -4.310 3.970
Se -2.187 -4.861 6.387
Se 4.384 -1.687 8.173
Se 2.109 -1.137 5.756
```

Calculated values
Formation energy from raw total energies: -1.1069 eV per atom


# 14
## Th3Zn4Si2 (GGA-PBE)

Data for Th3Zn4Si2 after structural relaxation.

Cell and atoms, written as extended XYZ:
```
9
Lattice="4.211 0.000 0.000 -2.105 5.411 -1.245 0.000 0.187 8.438" Properties=species:S:1:pos:R:3 pbc="T T T"
Th 0.000 3.648 2.018
Th 0.000 0.000 0.000
Zn 0.000 3.138 7.246
Si 2.105 1.239 2.056
Th 2.105 1.949 5.175
Zn 0.000 0.638 3.128
Zn 2.105 4.959 4.066
Si 0.000 4.358 5.137
Zn 2.105 2.459 -0.053
```

Calculated values
Formation energy from raw total energies: -0.4964 eV per atom


# 15
## LaTaNF2 (GGA-PBE)

Data for LaTaNF2 after structural relaxation.

Cell and atoms, written as extended XYZ:
```
5
Lattice="-2.609 -1.408 -3.062 -2.031 -2.433 2.849 -2.611 3.111 0.794" Properties=species:S:1:pos:R:3 pbc="T T T"
F -1.304 -0.704 -1.531
F -1.016 -1.216 1.425
La -3.626 -0.365 0.291
Ta 0.000 0.000 0.000
N -1.305 1.555 0.397
```

Calculated values
Distance to the lowest polymorph of the same formula: 0.00 kJ/mol of atoms
Formation energy from raw total energies: -1.5760 eV per atom


# 16
## Y2ScN (GGA-PBE)

Data for Y2ScN after structural relaxation.

Cell and atoms, written as extended XYZ:
```
4
Lattice="3.427 0.000 0.000 1.713 2.968 0.000 1.713 0.989 9.016" Properties=species:S:1:pos:R:3 pbc="T T T"
Y 1.713 0.989 5.848
Sc 0.000 0.000 0.000
N 3.427 1.979 4.508
Y 5.140 2.968 3.168
```

Calculated values
Formation energy from raw total energies: -0.6327 eV per atom


# 17
## Nd6Bi3Rh (GGA-PBE)

Data for Nd6Bi3Rh after structural relaxation.

Cell and atoms, written as extended XYZ:
```
20
Lattice="6.646 0.000 -0.066 0.000 8.762 0.000 -0.039 0.000 11.302" Properties=species:S:1:pos:R:3 pbc="T T T"
Bi 3.323 4.381 -0.033
Nd 0.879 2.986 4.910
Rh 0.000 0.000 0.000
Rh 3.304 4.381 5.618
Nd 2.425 7.367 0.707
Nd 5.728 5.775 6.325
Nd 0.887 0.327 8.680
Bi 6.030 3.341 8.514
Nd 5.848 6.090 10.576
Nd 4.182 1.395 10.528
Bi 3.880 7.722 8.340
Nd 5.720 8.435 2.556
Nd 4.230 4.054 2.996
Nd 2.545 7.053 4.958
Nd 4.062 1.709 6.277
Bi -0.020 0.000 5.651
Nd 0.759 2.672 0.659
Nd 2.377 4.708 8.240
Bi 2.727 1.040 2.896
Bi 0.577 5.421 2.722
```

Calculated values
Final energy: -107.99 eV per cell


# 18
## CsReHg2F (GGA-PBE)

Data for CsReHg2F after structural relaxation.

Cell and atoms, written as extended XYZ:
```
5
Lattice="7.743 0.000 0.000 0.000 5.280 0.000 0.000 0.000 7.743" Properties=species:S:1:pos:R:3 pbc="T T T"
Re 3.872 2.640 3.872
Hg 0.000 0.000 3.872
F 0.000 2.640 0.000
Cs 0.000 0.000 0.000
Hg 3.872 0.000 0.000
```

Calculated values
Formation energy from raw total energies: 0.6746 eV per atom


# 19
## V2Ru2Rh (GGA-PBE)

Data for V2Ru2Rh after structural relaxation.

Cell and atoms, written as extended XYZ:
```
10
Lattice="-6.464 2.492 -1.284 -2.803 -5.688 3.071 0.020 1.358 2.534" Properties=species:S:1:pos:R:3 pbc="T T T"
V -6.627 -2.418 2.980
V -6.331 0.853 1.225
Ru -4.481 0.815 -0.401
V -2.915 -2.691 3.096
Ru -4.786 -4.011 2.188
Ru -7.372 -1.455 0.839
Ru -1.895 -1.741 0.948
Rh 0.000 0.000 0.000
Rh -4.634 -1.598 0.894
V -2.620 0.580 1.341
```

Calculated values
Distance to the lowest polymorph of the same formula: 1.16 kJ/mol of atoms


# 20
## CaPm3P (GGA-PBE)

Data for CaPm3P after structural relaxation.

Cell and atoms, written as extended XYZ:
```
5
Lattice="5.598 0.000 0.000 0.000 5.598 0.000 0.000 0.000 5.598" Properties=species:S:1:pos:R:3 pbc="T T T"
Ca 2.799 2.799 2.799
Pm 0.000 0.000 2.799
P 0.000 0.000 0.000
Pm 2.799 0.000 0.000
Pm 0.000 2.799 0.000
```

Calculated values
Final energy: -23.96 eV per cell